[1]
Density functional theory data (PBE) for a relaxed structure of InHRh3.

* N(E_F): 17.17 states/eV per cell
* E above lowest polymorph: 0.170 eV/atom

Cell and atoms, written as extended XYZ:
```
10
Lattice="2.8113 0.0000 6.7280 -1.4057 2.4347 6.7280 -1.4057 -2.4347 6.7280" Properties=species:S:1:pos:R:3 pbc="T T T"
Rh 1.3990 0.8175 8.9856
Rh 1.4075 -0.8028 11.1983
Rh -0.0085 1.6203 11.1983
Rh -1.3990 -0.8175 11.1983
Rh 0.0085 -1.6203 8.9856
Rh -1.4075 0.8028 8.9856
In 0.0000 0.0000 6.7294
In 0.0000 0.0000 13.4545
H 0.0000 0.0000 18.7568
H 0.0000 0.0000 1.4270
```


[2]
Density functional theory data (PBE) for a relaxed structure of Nd4CdAg2Rh.

* total DFT energy (no corrections): -4.520 eV per atom
* N(E_F): 5.78 states/eV per cell

Cell and atoms, written as extended XYZ:
```
8
Lattice="-2.0298 3.9567 2.8745 -3.5255 -1.0354 3.8128 4.4768 0.1347 7.8530" Properties=species:S:1:pos:R:3 pbc="T T T"
Nd -2.7144 1.8164 5.3372
Nd 1.6359 1.2396 9.2031
Nd -3.0377 2.5875 8.9246
Nd 1.9592 0.4685 5.6157
Cd 0.0000 0.0000 0.0000
Rh -0.5393 1.5280 7.2701
Ag -0.4688 0.7904 3.4581
Ag -0.6097 2.2655 11.0821
```


[3]
Density functional theory data (PBE) for a relaxed structure of SrCdCl2.

* N(E_F): 0.00 states/eV per cell
* uncorrected formation energy: -1.441 eV per atom
* E above lowest polymorph: 0.226 eV/atom

Cell and atoms, written as extended XYZ:
```
4
Lattice="0.0000 3.7937 3.7937 3.7937 0.0000 3.7937 3.7937 3.7937 0.0000" Properties=species:S:1:pos:R:3 pbc="T T T"
Sr 0.0000 0.0000 0.0000
Cl 1.8968 1.8968 1.8968
Cl 5.6905 5.6905 5.6905
Cd 3.7937 3.7937 3.7937
```


[4]
Density functional theory data (PBE) for a relaxed structure of TbPr6Sm2Y.

* total DFT energy (no corrections): -4.811 eV per atom
* N(E_F): 29.64 states/eV per cell

Cell and atoms, written as extended XYZ:
```
20
Lattice="-2.9921 4.5774 8.2290 -4.7954 -7.5035 1.6084 8.7460 0.0664 2.3214" Properties=species:S:1:pos:R:3 pbc="T T T"
Pr -4.2610 -3.1390 6.0472
Pr 4.1281 0.5504 9.6689
Pr 1.9530 -0.8379 7.5373
Pr 5.2194 0.2792 6.1116
Pr -0.9946 -2.0219 4.6215
Pr -4.9400 -2.2750 9.7699
Pr -1.8951 -5.9417 5.1585
Pr 0.3704 1.8661 8.8866
Pr 5.8984 -0.5847 2.3889
Pr -3.1697 -3.4102 2.4899
Pr 0.5881 -4.7259 3.2722
Pr 2.8535 3.0819 7.0003
Y 2.4622 -1.8839 4.0872
Y -1.5037 -0.9759 8.0716
Sm 0.9518 -3.8871 6.6855
Sm 0.7773 -0.8596 10.8696
Sm 0.0067 1.0273 5.4733
Sm 0.1811 -2.0002 1.2892
Tb 6.1822 3.3207 8.4763
Tb -5.2238 -6.1805 3.6825
```